# 1
VASP calculation (PBE) on InTe2As after structural relaxation.

```
InTe2As
1.0
5.287 0.000 0.000
2.644 4.579 0.000
2.644 1.526 4.317
Te In As
2 1 1
Direct
0.250 0.250 0.250
0.000 0.000 0.000
0.750 0.750 0.750
0.500 0.500 0.500
```

Calculated values
The value obtained for the uncorrected formation energy is 29 kJ/mol of atoms. Its energy above the most stable polymorph in this dataset is 394 meV/atom. As for the symmetry: F-43m (216). As for the calculated total energy: -0.229 Ry per atom.

# 2
VASP calculation (PBE) on BaIrOs2 after structural relaxation.

```
BaIrOs2
1.0
2.927 0.005 0.000
-0.005 2.927 0.000
0.000 0.000 8.873
Ir Os Ba
1 2 1
Direct
0.500 0.500 0.750
0.000 0.000 0.943
0.000 0.000 0.557
0.500 0.500 0.250
```

Calculated values
Its energy above the most stable polymorph in this dataset is 606 meV/atom. As for the symmetry: P4/mmm (123). Its formation energy from the elements is 0.886 eV per atom. As for the calculated total energy: -0.546 Ry per atom.

# 3
VASP calculation (PBE) on AcPHPd after structural relaxation.

```
AcPHPd
1.0
4.442 0.000 0.000
-2.221 3.845 0.007
0.000 -0.006 4.083
Pd H Ac P
1 1 1 1
Direct
0.239 0.477 0.821
0.239 0.477 0.298
0.572 0.144 0.314
0.905 0.810 0.806
```

Calculated values
As for the symmetry: P3m1 (156). As for the calculated total energy: -0.400 Ry per atom.

# 4
VASP calculation (PBE) on PrHo3Er after structural relaxation.

```
PrHo3Er
1.0
-2.472 8.562 -3.561
-4.928 -0.266 2.780
3.026 0.844 5.444
Ho Pr Er
6 2 2
Direct
0.001 0.450 0.836
0.597 0.450 0.635
0.999 0.950 0.164
0.797 0.450 0.231
0.203 0.950 0.769
0.403 0.950 0.365
0.800 0.950 0.569
0.200 0.450 0.431
0.401 0.450 0.034
0.599 0.950 0.966
```

Calculated values
Its energy above the most stable polymorph in this dataset is 0 meV/atom. As for the symmetry: P2_1/m (11). Its formation energy from the elements is 0.014 eV per atom. As for the calculated total energy: -0.338 Ry per atom.